## P
Entry from the Alexandria database: a relaxed structure of Pr4Sm3Er (PBE).

a = 11.824 Å, b = 7.391 Å, c = 6.382 Å
α = 90.00°, β = 90.00°, γ = 90.00°
Atoms (fractional coordinates):
Pr 0.000 0.127 0.000
Pr 0.000 0.873 0.494
Pr 0.247 0.872 0.832
Pr 0.253 0.128 0.332
Pr 0.500 0.127 0.994
Pr 0.500 0.873 0.500
Pr 0.747 0.128 0.332
Pr 0.753 0.872 0.832
Sm 0.000 0.377 0.499
Sm 0.250 0.378 0.830
Sm 0.250 0.622 0.330
Sm 0.500 0.623 0.999
Sm 0.750 0.378 0.830
Sm 0.750 0.622 0.330
Er 0.000 0.621 0.998
Er 0.500 0.379 0.498

Results
**SG**: Pmn2_1
**M_tot**: 0.0 μB/f.u.

## Q
Entry from the Alexandria database: a relaxed structure of Pr4Sm3Er (PBE).

a = 10.355 Å, b = 7.304 Å, c = 7.303 Å
α = 90.00°, β = 90.00°, γ = 90.00°
Atoms (fractional coordinates):
Pr 0.000 0.000 0.000
Pr 0.000 0.500 0.500
Pr 0.250 0.249 0.250
Pr 0.250 0.751 0.750
Pr 0.500 0.000 0.500
Pr 0.500 0.500 0.000
Pr 0.750 0.249 0.250
Pr 0.750 0.751 0.750
Sm 0.000 0.500 0.000
Sm 0.250 0.248 0.750
Sm 0.250 0.752 0.250
Sm 0.500 0.500 0.500
Sm 0.750 0.248 0.750
Sm 0.750 0.752 0.250
Er 0.000 0.000 0.500
Er 0.500 0.000 0.000

Results
**SG**: Pmna
**M_tot**: 0.0 μB/f.u.

Most stable: Q (next structure +16 meV/atom)

## P
Entry from the Alexandria database: a relaxed structure of Pr6Sm2Er3 (PBE).

a = 17.543 Å, b = 17.543 Å, c = 17.543 Å
α = 164.32°, β = 164.32°, γ = 22.25°
Atoms (fractional coordinates):
Pr 0.121 0.621 0.500
Pr 0.207 0.207 0.000
Pr 0.379 0.879 0.500
Pr 0.621 0.121 0.500
Pr 0.793 0.793 0.000
Pr 0.879 0.379 0.500
Sm 0.045 0.045 0.000
Sm 0.955 0.955 0.000
Er 0.307 0.307 0.000
Er 0.500 0.500 0.000
Er 0.693 0.693 0.000

Results
**SG**: I4/mmm
**M_tot**: 0.0 μB/f.u.

## Q
Entry from the Alexandria database: a relaxed structure of Pr6Sm2Er3 (PBE).

a = 6.303 Å, b = 8.119 Å, c = 8.160 Å
α = 107.39°, β = 97.31°, γ = 104.91°
Atoms (fractional coordinates):
Pr 0.047 0.183 0.409
Pr 0.137 0.546 0.232
Pr 0.320 0.272 0.865
Pr 0.680 0.728 0.135
Pr 0.863 0.454 0.768
Pr 0.953 0.817 0.591
Sm 0.230 0.911 0.048
Sm 0.770 0.089 0.952
Er 0.410 0.638 0.681
Er 0.500 0.000 0.500
Er 0.590 0.362 0.319

Results
**SG**: P-1
**M_tot**: 0.0 μB/f.u.

Most stable: Q (next structure +276 meV/atom)

## P
Entry from the Alexandria database: a relaxed structure of PrSm7Er2 (PBE).

a = 6.256 Å, b = 7.217 Å, c = 8.077 Å
α = 77.15°, β = 75.02°, γ = 73.35°
Atoms (fractional coordinates):
Pr 0.000 0.000 0.000
Sm 0.000 0.500 0.000
Sm 0.200 0.301 0.599
Sm 0.400 0.100 0.202
Sm 0.402 0.599 0.202
Sm 0.598 0.401 0.798
Sm 0.600 0.900 0.798
Sm 0.800 0.699 0.401
Er 0.199 0.801 0.598
Er 0.801 0.199 0.402

Results
**SG**: P-1
**M_tot**: 0.0 μB/f.u.

## Q
Entry from the Alexandria database: a relaxed structure of PrSm7Er2 (PBE).

a = 9.166 Å, b = 9.166 Å, c = 5.738 Å
α = 90.00°, β = 90.00°, γ = 121.93°
Atoms (fractional coordinates):
Pr 0.000 0.000 0.000
Sm 0.062 0.296 0.500
Sm 0.227 0.773 0.000
Sm 0.296 0.062 0.500
Sm 0.500 0.500 0.500
Sm 0.704 0.938 0.500
Sm 0.773 0.227 0.000
Sm 0.938 0.704 0.500
Er 0.296 0.704 0.500
Er 0.704 0.296 0.500

Results
**SG**: Cmmm
**M_tot**: 0.0 μB/f.u.

Most stable: P (next structure +640 meV/atom)